Material: Tl2CrAg
Method: DFT, SCAN
State: single point on PBEsol structure

Lattice parameters (Å, degrees): 3.2500 3.2500 27.0319 90.00 90.00 120.00
Closest atoms and distances in Å follow each position.
Fractional positions:
Tl1 0.0000 0.0000 0.2484  3 Cr 2.90, 3 Ag 2.97
Tl2 0.0000 0.0000 0.7516  3 Cr 2.90, 3 Ag 2.97
Tl3 0.3333 0.6667 0.4183  3 Cr 2.90, 3 Ag 2.97
Tl4 0.3333 0.6667 0.9150  3 Cr 2.90, 3 Ag 2.97
Tl5 0.6667 0.3333 0.0850  3 Cr 2.90, 3 Ag 2.97
Tl6 0.6667 0.3333 0.5817  3 Cr 2.90, 3 Ag 2.97
Cr1 0.0000 0.0000 0.5000  6 Tl 2.90
Cr2 0.3333 0.6667 0.1667  6 Tl 2.90
Cr3 0.6667 0.3333 0.8333  6 Tl 2.90
Ag1 0.0000 0.0000 0.0000  6 Tl 2.97, 6 Ag 3.25
Ag2 0.3333 0.6667 0.6667  6 Tl 2.97, 6 Ag 3.25
Ag3 0.6667 0.3333 0.3333  6 Tl 2.97, 6 Ag 3.25

Computed properties:
- space group = R-3m (166)
- calculated total energy (eV/atom) = -48.292
- E above lowest polymorph (meV/atom) = 57
- density (Mg/m³) = 11.46
- V (Å³ per cell) = 247.3